a:
Here is a relaxed CaAcGeCl crystal from Alexandria via LeMat-Bulk. Energies are from PBE.

a b c (Å): 7.5759 7.5759 7.5759
angles (deg): 90.00 90.00 90.00
Space group F-43m (No. 216)
Inequivalent atoms, fractional coordinates:
Ca: 0.0000 0.0000 0.0000 (multiplicity 4)
Ac: 0.0000 0.0000 0.5000 (multiplicity 4)
Ge: 0.2500 0.2500 0.2500 (multiplicity 4)
Cl: 0.2500 0.2500 0.7500 (multiplicity 4)

***

b:
Here is a relaxed CaAcGeCl crystal from Alexandria via LeMat-Bulk. Energies are from PBE.

a b c (Å): 4.5291 4.5291 21.4103
angles (deg): 90.00 90.00 120.00
Space group R3m (No. 160, hexagonal axes)
Inequivalent atoms, fractional coordinates:
Ca: 0.0000 0.0000 0.0000 (multiplicity 3)
Ac: 0.0000 0.0000 0.4777 (multiplicity 3)
Ge: 0.0000 0.0000 0.7362 (multiplicity 3)
Cl: 0.0000 0.0000 0.2410 (multiplicity 3)

***

Quick one: most stable of them? b

***

a:
Here is a relaxed CaAc2Co crystal from Alexandria via LeMat-Bulk. Energies are from PBE.

a b c (Å): 19.8263 4.0767 7.4926
angles (deg): 90.00 96.80 90.00
Space group C2/m (No. 12)
Inequivalent atoms, fractional coordinates:
Ca: 0.0034 0.0000 0.2449 (multiplicity 4)
Ac: 0.1665 0.5000 0.0461 (multiplicity 4)
Ac: 0.1754 0.0000 0.5653 (multiplicity 4)
Co: 0.2433 0.0000 0.2460 (multiplicity 4)

***

b:
Here is a relaxed CaAc2Co crystal from Alexandria via LeMat-Bulk. Energies are from PBE.

a b c (Å): 4.1687 4.1687 29.7592
angles (deg): 90.00 90.00 120.00
Space group R3m (No. 160, hexagonal axes)
Inequivalent atoms, fractional coordinates:
Ca: 0.0000 0.0000 0.0000 (multiplicity 3)
Ac: 0.0000 0.0000 0.5515 (multiplicity 3)
Ac: 0.0000 0.0000 0.7794 (multiplicity 3)
Co: 0.0000 0.0000 0.1648 (multiplicity 3)

***

Quick one: most stable of them? b